VASP calculation (PBE-GGA) on an optimized crystal structure of BaErAs.

The structure in POSCAR format:
```
BaErAs
1.0
-3.293 1.411 -2.337
0.280 -5.757 -3.869
-8.304 -5.881 8.150
Er Ba As
4 4 4
Cartesian
-4.266 -6.169 -3.584
-6.911 -6.937 3.593
-7.051 -4.058 5.528
-4.406 -3.291 -1.649
-6.889 -3.560 1.686
-1.090 -1.325 -1.221
-4.428 -6.667 0.258
-10.226 -8.902 3.165
-7.818 -7.197 0.800
-2.020 -4.961 -2.105
-3.499 -3.031 1.144
-9.297 -5.267 4.049
```

Energy of formation, eV per atom: -0.889
Symmetry: No. 63
Theoretical density, g/cm³: 6.51



VASP calculation (PBE-GGA) on an optimized crystal structure of RbBeCdF6.

The structure in POSCAR format:
```
RbBeCdF6
1.0
5.382 0.000 0.000
2.691 4.661 0.000
0.000 0.000 5.986
Rb Be Cd F
1 1 1 6
Cartesian
8.073 4.661 5.986
2.691 1.554 2.993
5.382 3.107 2.993
1.263 1.643 1.942
2.054 0.272 4.044
4.119 1.643 4.044
1.900 2.746 4.044
3.483 2.746 1.942
3.328 0.272 1.942
```

Formation energy from raw total energies, eV/atom: -2.335
Symmetry: No. 149
Theoretical density, g/cm³: 3.55



VASP calculation (PBE-GGA) on an optimized crystal structure of Cr3TeRu.

The structure in POSCAR format:
```
Cr3TeRu
1.0
5.018 0.000 0.000
0.000 5.018 0.000
0.000 0.000 5.018
Ru Te Cr
1 1 3
Cartesian
2.509 2.509 2.509
0.000 0.000 0.000
0.000 2.509 0.000
0.000 0.000 2.509
2.509 0.000 0.000
```

Formation energy from raw total energies, eV/atom: 1.755
Symmetry: No. 221
Theoretical density, g/cm³: 5.06
E above lowest polymorph, meV per atom: 722.8



VASP calculation (PBE-GGA) on an optimized crystal structure of ThCo3C.

The structure in POSCAR format:
```
ThCo3C
1.0
5.176 0.000 0.000
0.000 5.464 0.000
0.000 -2.732 4.732
Th Co C
2 6 2
Cartesian
3.882 2.732 1.577
1.294 0.000 3.155
3.882 1.457 3.996
1.294 2.732 3.260
1.294 1.275 0.736
3.882 0.000 1.472
1.294 4.190 0.736
3.882 -1.457 3.996
0.000 0.000 0.000
2.588 0.000 0.000
```

Energy of formation, eV per atom: -0.023
Symmetry: No. 194
Theoretical density, g/cm³: 10.44



VASP calculation (PBE-GGA) on an optimized crystal structure of YScZnHg.

The structure in POSCAR format:
```
YScZnHg
1.0
-0.701 -2.524 2.335
3.238 0.318 1.316
-2.382 4.970 4.658
Y Sc Zn Hg
1 1 1 1
Cartesian
0.975 -0.492 2.399
-0.138 1.831 4.576
-0.906 1.891 1.772
-1.986 4.144 3.884
```

Energy of formation, eV per atom: -0.416
Symmetry: No. 99
Theoretical density, g/cm³: 7.47



VASP calculation (PBE-GGA) on an optimized crystal structure of AcIn2Ga2.

The structure in POSCAR format:
```
AcIn2Ga2
1.0
4.550 0.000 0.000
0.000 4.550 0.000
-2.275 -2.275 6.148
Ac In Ga
1 2 2
Cartesian
0.000 0.000 0.000
2.275 0.000 3.074
0.000 2.275 3.074
2.275 2.275 1.283
0.000 0.000 4.865
```

Energy of formation, eV per atom: -0.375
Symmetry: No. 139
Theoretical density, g/cm³: 7.78
E above lowest polymorph, meV per atom: 0.0



VASP calculation (PBE-GGA) on an optimized crystal structure of CsP3Pt.

The structure in POSCAR format:
```
CsP3Pt
1.0
4.948 0.000 0.000
0.000 4.948 0.000
0.000 0.000 4.948
Cs P Pt
1 3 1
Cartesian
2.474 2.474 2.474
0.000 2.474 0.000
0.000 0.000 2.474
2.474 0.000 0.000
0.000 0.000 0.000
```

Energy of formation, eV per atom: 0.545
Symmetry: No. 221
Theoretical density, g/cm³: 5.77
E above lowest polymorph, meV per atom: 0.0



VASP calculation (PBE-GGA) on an optimized crystal structure of Sr2HoSb3Rh4.

The structure in POSCAR format:
```
Sr2HoSb3Rh4
1.0
4.460 0.000 0.000
0.000 4.460 0.000
0.000 0.000 11.467
Sr Ho Sb Rh
2 1 3 4
Cartesian
2.230 0.000 2.726
0.000 2.230 8.741
2.230 2.230 5.733
0.000 0.000 5.733
2.230 0.000 9.999
0.000 2.230 1.467
2.230 2.230 0.000
0.000 0.000 0.000
2.230 0.000 7.378
0.000 2.230 4.089
```

Formation energy from raw total energies, eV/atom: -0.791
Symmetry: No. 115
Theoretical density, g/cm³: 8.13



VASP calculation (PBE-GGA) on an optimized crystal structure of TbPrAgRu.

The structure in POSCAR format:
```
TbPrAgRu
1.0
-2.626 -2.786 3.328
1.175 -4.884 0.705
2.173 -1.485 4.336
Pr Ru Tb Ag
1 1 1 1
Cartesian
0.000 0.000 0.000
0.542 -6.866 6.277
0.361 -4.578 4.185
0.181 -2.289 2.092
```

Energy of formation, eV per atom: -0.233
Symmetry: No. 216
Theoretical density, g/cm³: 9.15
E above lowest polymorph, meV per atom: 65.1



VASP calculation (PBE-GGA) on an optimized crystal structure of ReAg3Cl.

The structure in POSCAR format:
```
ReAg3Cl
1.0
-3.437 -3.913 -0.140
1.233 -0.905 -4.980
3.716 -3.319 1.523
Re Ag Cl
1 3 1
Cartesian
0.000 0.000 0.000
0.617 -0.452 -2.490
1.858 -1.660 0.762
-1.719 -1.956 -0.070
0.756 -4.068 -1.799
```

Formation energy from raw total energies, eV/atom: 1.518
Symmetry: No. 221
Theoretical density, g/cm³: 6.40
E above lowest polymorph, meV per atom: 0.0



VASP calculation (PBE-GGA) on an optimized crystal structure of AlMoW3.

The structure in POSCAR format:
```
AlMoW3
1.0
-2.188 -3.133 -2.789
4.194 -1.620 -1.471
0.019 -3.153 3.527
Mo Al W
1 1 3
Cartesian
0.000 0.000 0.000
1.013 -3.953 -0.366
2.097 -0.810 -0.735
0.010 -1.576 1.763
-1.094 -1.566 -1.394
```

Energy of formation, eV per atom: 2.056
Symmetry: No. 221
Theoretical density, g/cm³: 10.58
E above lowest polymorph, meV per atom: 2098.1



VASP calculation (PBE-GGA) on an optimized crystal structure of LaTbEr2Tl4.

The structure in POSCAR format:
```
LaTbEr2Tl4
1.0
5.419 0.000 0.000
2.710 4.693 0.000
2.710 1.564 8.899
La Tb Er Tl
1 1 2 4
Cartesian
0.000 0.000 0.000
5.419 3.129 4.450
8.129 4.693 6.655
2.710 1.564 2.245
5.419 3.129 7.721
8.129 4.693 3.393
2.710 1.564 5.506
5.419 3.129 1.178
```

Energy of formation, eV per atom: -0.345
Symmetry: No. 166
Theoretical density, g/cm³: 10.64



VASP calculation (PBE-GGA) on an optimized crystal structure of BeAl2Cu.

The structure in POSCAR format:
```
BeAl2Cu
1.0
2.717 0.008 0.000
-0.008 2.717 0.000
0.000 0.000 7.133
Be Al Cu
1 2 1
Cartesian
0.000 0.000 3.766
0.000 0.000 6.916
1.354 1.363 2.028
1.354 1.363 5.122
```

Energy of formation, eV per atom: 0.020
Symmetry: No. 99
Theoretical density, g/cm³: 3.99



VASP calculation (PBE-GGA) on an optimized crystal structure of LuThReNi.

The structure in POSCAR format:
```
LuThReNi
1.0
-3.515 -0.825 3.271
-4.344 -1.658 -1.457
-1.338 -4.568 1.040
Re Lu Th Ni
1 1 1 1
Cartesian
-4.598 -3.526 1.427
-2.299 -1.763 0.713
-6.897 -5.288 2.140
0.000 0.000 0.000
```

Energy of formation, eV per atom: -0.147
Symmetry: No. 216
Theoretical density, g/cm³: 13.24



VASP calculation (PBE-GGA) on an optimized crystal structure of U2Mn3Si5.

The structure in POSCAR format:
```
U2Mn3Si5
1.0
10.499 0.000 0.000
0.000 10.499 0.000
0.000 0.000 5.379
U Mn Si
8 12 20
Cartesian
4.509 2.786 2.689
5.990 7.713 2.689
7.713 4.509 2.689
2.786 5.990 2.689
8.036 9.759 0.000
9.759 2.463 0.000
0.740 8.036 0.000
2.463 0.740 0.000
3.930 6.729 0.000
5.250 0.000 4.034
0.000 5.250 1.345
5.250 0.000 1.345
1.320 1.479 2.689
9.180 9.020 2.689
9.020 1.320 2.689
1.479 9.180 2.689
6.729 6.569 0.000
6.569 3.771 0.000
3.771 3.930 0.000
0.000 5.250 4.034
3.326 0.229 2.689
7.174 10.270 2.689
10.270 3.326 2.689
0.229 7.174 2.689
5.479 8.575 0.000
8.575 5.021 0.000
1.924 5.479 0.000
5.021 1.924 0.000
5.250 5.250 4.064
0.000 0.000 4.004
5.250 5.250 1.315
0.000 0.000 1.374
7.114 1.864 4.034
1.864 3.385 4.034
8.635 7.114 4.034
7.114 1.864 1.345
3.385 8.635 1.345
8.635 7.114 1.345
1.864 3.385 1.345
3.385 8.635 4.034
```

Formation energy from raw total energies, eV/atom: -0.466
Symmetry: No. 128
Theoretical density, g/cm³: 8.75
E above lowest polymorph, meV per atom: 0.0



VASP calculation (PBE-GGA) on an optimized crystal structure of LiYAl2Ag4.

The structure in POSCAR format:
```
LiYAl2Ag4
1.0
-2.300 3.153 -2.337
-4.478 0.484 0.633
-0.828 6.670 5.387
Li Y Al Ag
1 1 2 4
Cartesian
-3.803 5.153 1.842
0.000 0.000 0.000
-5.722 7.665 2.691
-1.884 2.642 0.992
-3.358 6.852 3.695
-6.215 5.784 0.639
-1.391 4.523 3.044
-4.248 3.455 -0.012
```

Energy of formation, eV per atom: -0.264
Symmetry: No. 166
Theoretical density, g/cm³: 6.57



VASP calculation (PBE-GGA) on an optimized crystal structure of Y6Ga17Pt5.

The structure in POSCAR format:
```
Y6Ga17Pt5
1.0
-6.831 -1.457 4.299
-4.811 -5.185 4.152
5.031 2.139 14.835
Y Ga Pt
6 17 5
Cartesian
-4.977 -3.388 17.462
-1.633 -1.115 5.825
-6.015 -4.098 21.187
-2.705 -1.845 9.569
-3.905 -2.659 13.717
-0.595 -0.405 2.099
-3.090 -2.462 19.895
0.267 -0.181 8.214
-6.877 -4.323 15.072
-3.520 -2.042 3.391
-7.730 -4.904 18.077
-4.394 -2.636 6.432
-2.216 -1.868 16.854
1.120 0.400 5.210
0.343 -0.244 10.868
-7.950 -4.613 7.713
1.340 0.110 15.573
-6.953 -4.259 12.418
2.455 0.867 11.696
-5.845 -3.504 8.507
-0.765 -1.000 14.779
-9.065 -5.371 11.590
-5.821 -3.321 4.226
-1.508 -1.305 12.334
-9.777 -5.661 9.155
3.167 1.157 14.131
-5.102 -3.198 10.953
2.516 1.070 7.417
```

Energy of formation, eV per atom: -0.730
Symmetry: No. 12
Theoretical density, g/cm³: 8.61



VASP calculation (PBE-GGA) on an optimized crystal structure of NiRh2Au.

The structure in POSCAR format:
```
NiRh2Au
1.0
2.744 0.000 0.000
0.000 3.764 0.000
0.000 0.000 5.666
Au Ni Rh
1 1 2
Cartesian
1.372 1.882 1.416
1.372 1.882 4.249
0.000 0.000 5.534
0.000 0.000 2.965
```

Energy of formation, eV per atom: 0.186
Symmetry: No. 47
Theoretical density, g/cm³: 13.09
E above lowest polymorph, meV per atom: 88.9



VASP calculation (PBE-GGA) on an optimized crystal structure of Ba3Zn3Rh2.

The structure in POSCAR format:
```
Ba3Zn3Rh2
1.0
6.265 0.000 0.000
0.000 8.569 0.000
0.000 0.000 16.046
Ba Zn Rh
12 12 8
Cartesian
0.708 3.886 6.352
3.841 0.399 9.694
5.557 4.683 14.375
2.425 8.171 1.671
5.557 4.683 9.694
2.425 8.171 6.352
0.708 3.886 1.671
3.841 0.399 14.375
3.792 2.576 4.011
0.659 1.708 12.034
2.474 5.993 12.034
5.606 6.861 4.011
0.385 1.291 4.011
3.517 2.993 12.034
5.881 7.278 12.034
2.748 5.576 4.011
3.833 2.879 7.415
0.700 1.406 8.631
2.432 5.691 15.438
5.565 7.163 0.608
2.432 5.691 8.631
5.565 7.163 7.415
3.833 2.879 0.608
0.700 1.406 15.438
5.509 1.039 6.454
2.377 3.246 9.592
0.756 7.531 14.477
3.889 5.323 1.569
0.756 7.531 9.592
3.889 5.323 6.454
5.509 1.039 1.569
2.377 3.246 14.477
```

Energy of formation, eV per atom: -0.277
Symmetry: No. 62
Theoretical density, g/cm³: 6.28



VASP calculation (PBE-GGA) on an optimized crystal structure of Dy8Tl2Hg.

The structure in POSCAR format:
```
Dy8Tl2Hg
1.0
-2.230 1.532 -4.609
0.317 -8.093 -2.843
-5.345 2.044 6.364
Tl Hg Dy
2 1 8
Cartesian
-2.727 -3.762 0.069
-4.532 -0.755 -1.157
-1.115 0.766 -2.305
-2.126 -2.348 -2.850
-4.132 1.346 2.446
-1.670 -0.684 0.581
-0.626 -5.436 -1.504
-5.588 -3.833 -1.669
-3.127 -5.864 -3.535
-5.132 -2.170 1.762
-6.632 0.918 0.415
```

Energy of formation, eV per atom: -0.206
Symmetry: No. 12
Theoretical density, g/cm³: 9.96
E above lowest polymorph, meV per atom: 0.0